Entry from Alexandria via LeMat-Bulk: Ce2PrHo6Er3 after structural relaxation (PBE).

energy of formation from the pure elements: 0.63 eV/f.u.
M_tot: 1.8 Bohr magnetons per cell
space-group type: C2/m, No. 12
VASP energy: -4.764 eV/atom

Cell lengths 6.1188, 6.1188, 11.7037 Å; angles 95.00, 95.00, 120.00 degrees
Closest atoms and distances in Å follow each position.
Element x y z (fractional)
Pr: 0.0000 0.0000 0.0000  6 Ce 3.53, 6 Ho 3.55-3.56
Ho: 0.4207 0.0844 0.2516  3 Er 3.51-3.52, 6 Ho 3.52-3.56, 2 Ce 3.54, 1 Pr 3.56
Ho: 0.0844 0.4207 0.2516  3 Er 3.51-3.52, 6 Ho 3.52-3.56, 2 Ce 3.54, 1 Pr 3.56
Ho: 0.5793 0.9156 0.7484  3 Er 3.51-3.52, 6 Ho 3.52-3.56, 2 Ce 3.54, 1 Pr 3.56
Ho: 0.7481 0.7481 0.2515  3 Er 3.51-3.52, 6 Ho 3.52-3.56, 2 Ce 3.54, 1 Pr 3.55
Ho: 0.9156 0.5793 0.7484  3 Er 3.51-3.52, 6 Ho 3.52-3.56, 2 Ce 3.54, 1 Pr 3.56
Ho: 0.2519 0.2519 0.7485  3 Er 3.51-3.52, 6 Ho 3.52-3.56, 2 Ce 3.54, 1 Pr 3.55
Er: 0.8336 0.1664 0.5000  6 Ho 3.51-3.52, 6 Er 3.53-3.54
Er: 0.1664 0.8336 0.5000  6 Ho 3.51-3.52, 6 Er 3.53-3.54
Er: 0.5000 0.5000 0.5000  6 Ho 3.51-3.52, 6 Er 3.53-3.54
Ce: 0.6668 0.3332 0.0000  3 Pr 3.53, 3 Ce 3.53-3.54, 6 Ho 3.54
Ce: 0.3332 0.6668 0.0000  3 Pr 3.53, 3 Ce 3.53-3.54, 6 Ho 3.54